Li2Ga4Ag | PBE | optimized geometry

abc: 6.744 6.744 5.202
angles: 90.00 90.00 90.00
Fractional coordinates of all 14 atoms:
Li1 0.000 0.500 0.250
Li2 0.000 0.500 0.750
Li3 0.500 0.000 0.250
Li4 0.500 0.000 0.750
Ga1 0.194 0.194 0.000
Ga2 0.194 0.806 0.000
Ga3 0.306 0.306 0.500
Ga4 0.306 0.694 0.500
Ga5 0.694 0.306 0.500
Ga6 0.694 0.694 0.500
Ga7 0.806 0.194 0.000
Ga8 0.806 0.806 0.000
Ag1 0.000 0.000 0.500
Ag2 0.500 0.500 0.000

Results
- Polymorph energy (0 for the lowest one): 0 meV/atom
- Space group: No. 139
- E_tot: -39.7 eV/cell
- Energy relative to the elements: -153 meV per atom

TaFe2Tc | PBE | optimized geometry

abc: 2.668 4.210 5.129
angles: 90.00 102.85 90.00
Fractional coordinates of all 4 atoms:
Ta1 0.000 0.000 0.000
Fe1 0.250 0.500 0.741
Fe2 0.750 0.500 0.259
Tc1 0.500 0.000 0.500

Results
- Polymorph energy (0 for the lowest one): 107 meV/atom
- Space group: No. 10
- E_tot: -39.0 eV/cell
- Energy relative to the elements: 28 meV per atom

MgTl2Bi | PBE | optimized geometry

abc: 4.689 4.689 5.304
angles: 90.00 90.00 90.00
Fractional coordinates of all 4 atoms:
Mg1 0.000 0.000 0.000
Tl1 0.000 0.500 0.500
Tl2 0.500 0.000 0.500
Bi1 0.500 0.500 0.000

Results
- Space group: No. 123
- E_tot: -10.4 eV/cell
- Energy relative to the elements: -38 meV per atom

Ho3SnTe6 | PBE | optimized geometry

abc: 9.608 9.608 7.460
angles: 90.00 90.00 102.38
Fractional coordinates of all 20 atoms:
Ho1 0.092 0.908 0.500
Ho2 0.219 0.413 0.601
Ho3 0.413 0.219 0.101
Ho4 0.587 0.781 0.601
Ho5 0.781 0.587 0.101
Ho6 0.908 0.092 0.000
Sn1 0.296 0.704 0.136
Sn2 0.704 0.296 0.636
Te1 0.044 0.593 0.351
Te2 0.126 0.200 0.297
Te3 0.200 0.126 0.797
Te4 0.277 0.723 0.735
Te5 0.407 0.956 0.351
Te6 0.472 0.528 0.313
Te7 0.528 0.472 0.813
Te8 0.593 0.044 0.851
Te9 0.723 0.277 0.235
Te10 0.800 0.874 0.297
Te11 0.874 0.800 0.797
Te12 0.956 0.407 0.851

Results
- Space group: No. 36
- E_tot: -93.5 eV/cell
- E_form (uncorrected): -1.014 eV/atom

ErPaCN | PBE | optimized geometry

abc: 3.538 3.538 4.941
angles: 90.00 90.00 90.00
Fractional coordinates of all 4 atoms:
Er1 0.000 0.000 0.000
Pa1 0.500 0.500 0.500
C1 0.000 0.000 0.500
N1 0.500 0.500 0.000

Results
- Space group: No. 123
- E_tot: -35.9 eV/cell
- E_form (uncorrected): -1.085 eV/atom